P3PbO: relaxed, PBE.

Cell lengths 5.2843, 5.2843, 5.2843 Å; angles 90.00, 90.00, 90.00 degrees
Sites, in units of the cell vectors:
P 0.0000 0.0000 0.5000
P 0.0000 0.5000 0.0000
P 0.5000 0.0000 0.0000
Pb 0.0000 0.0000 0.0000
O 0.5000 0.5000 0.5000

Offset from the most stable computed form   1535 meV per atom
DOS at the Fermi energy   9.75 states/eV/f.u.
Energy relative to the elements, uncorrected   2080 meV per atom
Space-group type   Pm-3m